KMoP2O, optimized geometry, DFT PBE+U; DOS at the Fermi energy = 4.48 states/eV per cell; uncorrected energy = -13.29 eV/cell; magnetic moment = 1.5 μB/f.u.
1.0
5.024 0.000 0.000
0.000 5.024 0.000
0.000 0.000 4.181
K Mo P O
1 1 2 1
Cartesian
0.000 0.000 0.000 K
2.512 2.512 2.091 Mo
0.000 2.512 0.000 P
2.512 0.000 0.000 P
0.000 0.000 2.091 O